{
  "formula": "P2Au5",
  "functional": "PBE-GGA",
  "state": "relaxed",
  "lattice": [[0.000, 9.217, 3.091], [4.622, 0.000, 3.091], [4.622, 9.217, 0.000]],
  "species": ["Au", "Au", "Au", "Au", "Au", "Au", "Au", "Au", "Au", "Au", "P", "P", "P", "P"],
  "fractional_positions": [[0.689, 0.789, 0.524], [0.926, 0.266, 0.664], [0.506, 0.506, 0.494], [0.251, 0.726, 0.461], [0.586, 0.105, 0.324], [0.789, 0.689, 0.999], [0.726, 0.251, 0.561], [0.266, 0.926, 0.145], [0.756, 0.756, 0.744], [0.105, 0.586, 0.984], [0.117, 0.064, 0.787], [0.218, 0.463, 0.186], [0.463, 0.218, 0.133], [0.064, 0.117, 0.032]],
  "total_energy_ev_per_atom": -3.665,
  "density_g_cm3": 13.20
}